Entry P
First-principles (PBE) data for crystalline Ce2NdHf at its relaxed geometry, as listed in Alexandria via LeMat-Bulk.

As for the crystal system: trigonal. As for the space group: R-3m, No. 166. The volume is 27.349 Å³/atom. For the magnetization, the calculation gives 0.00 μB/cell.

abc: 12.3347 12.3347 12.3347
angles: 14.99 14.99 14.99
Closest atoms and distances in Å follow each position.
Fractional positions:
Ce1 0.0800 0.0800 0.0800  1 Hf 2.93, 6 Ce 3.22
Ce2 0.9200 0.9200 0.9200  1 Hf 2.93, 6 Ce 3.22
Nd1 0.5000 0.5000 0.5000  6 Nd 3.22
Hf1 0.0000 0.0000 0.0000  2 Ce 2.93, 6 Hf 3.22

Entry Q
First-principles (PBE) data for crystalline Ce2NdHf at its relaxed geometry, as listed in Alexandria via LeMat-Bulk.

As for the crystal system: tetragonal. As for the space group: P4/mmm, No. 123. The volume is 27.848 Å³/atom. For the magnetization, the calculation gives 0.00 μB/cell.

abc: 4.7187 4.7187 5.0027
angles: 90.00 90.00 90.00
Closest atoms and distances in Å follow each position.
Fractional positions:
Ce1 0.0000 0.5000 0.0000  4 Ce 3.34, 4 Hf 3.44, 4 Nd 3.44
Ce2 0.5000 0.0000 0.0000  4 Ce 3.34, 4 Hf 3.44, 4 Nd 3.44
Nd1 0.0000 0.0000 0.5000  4 Hf 3.34, 8 Ce 3.44
Hf1 0.5000 0.5000 0.5000  4 Nd 3.34, 8 Ce 3.44

Which structure is the least stable? The one labeled entry P.

Entry P
First-principles (PBE) data for crystalline CeNd2Hf at its relaxed geometry, as listed in Alexandria via LeMat-Bulk.

As for the crystal system: tetragonal. As for the space group: P4/mmm, No. 123. The volume is 29.801 Å³/atom. For the magnetization, the calculation gives 0.55 μB/cell.

abc: 4.9278 4.9278 4.9090
angles: 90.00 90.00 90.00
Closest atoms and distances in Å follow each position.
Fractional positions:
Ce1 0.0000 0.0000 0.0000  8 Nd 3.48, 4 Hf 3.48
Nd1 0.0000 0.5000 0.5000  4 Hf 3.48, 4 Ce 3.48, 4 Nd 3.48
Nd2 0.5000 0.0000 0.5000  4 Hf 3.48, 4 Ce 3.48, 4 Nd 3.48
Hf1 0.5000 0.5000 0.0000  8 Nd 3.48, 4 Ce 3.48

Entry Q
First-principles (PBE) data for crystalline CeNd2Hf at its relaxed geometry, as listed in Alexandria via LeMat-Bulk.

As for the crystal system: trigonal. As for the space group: R-3m, No. 166. The volume is 29.456 Å³/atom. For the magnetization, the calculation gives 0.38 μB/cell.

abc: 12.3122 12.3122 12.3122
angles: 15.61 15.61 15.61
Closest atoms and distances in Å follow each position.
Fractional positions:
Ce1 0.0000 0.0000 0.0000  6 Ce 3.34, 6 Nd 3.53
Nd1 0.4145 0.4145 0.4145  1 Hf 3.12, 6 Nd 3.34
Nd2 0.5855 0.5855 0.5855  1 Hf 3.12, 6 Nd 3.34
Hf1 0.5000 0.5000 0.5000  2 Nd 3.12, 6 Hf 3.34

Which structure is the least stable? The one labeled entry Q.

Entry P
First-principles (PBE) data for crystalline CeHfP at its relaxed geometry, as listed in Alexandria via LeMat-Bulk.

As for the crystal system: monoclinic. As for the space group: C2/m, No. 12. The volume is 21.162 Å³/atom. For the magnetization, the calculation gives 1.36 μB/cell.

abc: 4.0644 4.0644 7.9781
angles: 100.81 100.81 90.97
Closest atoms and distances in Å follow each position.
Fractional positions:
Ce1 0.1424 0.1424 0.3629  5 P 2.97-3.08, 1 Ce 3.05
Ce2 0.8576 0.8576 0.6371  5 P 2.97-3.08, 1 Ce 3.05
Hf1 0.0000 0.5000 0.0000  4 P 2.77-2.78, 4 Hf 2.85-2.90
Hf2 0.5000 0.0000 0.0000  4 P 2.77-2.78, 4 Hf 2.85-2.90
P1 0.4059 0.4059 0.7545  4 Hf 2.77-2.78, 5 Ce 2.97-3.08
P2 0.5941 0.5941 0.2455  4 Hf 2.77-2.78, 5 Ce 2.97-3.08

Entry Q
First-principles (PBE) data for crystalline CeHfP at its relaxed geometry, as listed in Alexandria via LeMat-Bulk.

As for the crystal system: hexagonal. As for the space group: P-6m2, No. 187. The volume is 22.358 Å³/atom. For the magnetization, the calculation gives 0.00 μB/cell.

abc: 4.4416 4.4416 3.9260
angles: 90.00 90.00 120.00
Closest atoms and distances in Å follow each position.
Fractional positions:
Ce1 0.0000 0.0000 0.0000  6 Hf 3.23, 6 P 3.23
Hf1 0.3333 0.6667 0.5000  3 P 2.56
P1 0.6667 0.3333 0.5000  3 Hf 2.56

Which structure is the least stable? The one labeled entry Q.